(1)
Computed, not measured: a relaxed structure of LaFe9Ge4 at the GGA-PBE level of DFT.

Results
SG: I4/mcm, No. 140

abc: 8.1019 8.1019 8.2503
angles: 119.41 119.41 90.00
Positions (direct):
Ge: 0.1920 0.0551 0.7471
Ge: 0.9449 0.4449 0.2529
Ge: 0.5551 0.6920 0.7471
Ge: 0.0551 0.5551 0.7471
Ge: 0.3080 0.8080 0.2529
Ge: 0.4449 0.3080 0.2529
Ge: 0.6920 0.1920 0.7471
Ge: 0.8080 0.9449 0.2529
Fe: 0.7870 0.2870 0.3502
Fe: 0.5626 0.2986 0.0000
Fe: 0.0632 0.7870 0.3502
Fe: 0.7986 0.0626 0.0000
Fe: 0.2130 0.7130 0.6498
Fe: 0.2014 0.9374 0.0000
Fe: 0.0626 0.2014 0.0000
Fe: 0.4374 0.7014 0.0000
Fe: 0.2870 0.5632 0.3502
Fe: 0.9374 0.7986 0.0000
Fe: 0.9368 0.2130 0.6498
Fe: 0.7014 0.5626 0.0000
Fe: 0.2986 0.4374 0.0000
Fe: 0.5000 0.0000 0.0000
Fe: 0.4368 0.9368 0.6498
Fe: 0.0000 0.5000 0.0000
Fe: 0.5632 0.0632 0.3502
Fe: 0.7130 0.4368 0.6498
La: 0.7500 0.7500 0.5000
La: 0.2500 0.2500 0.5000

***

(2)
Computed, not measured: a relaxed structure of Pr3Co3Ru at the GGA-PBE level of DFT.

Results
SG: Cmcm, No. 63

abc: 4.2631 5.7006 12.8347
angles: 90.00 90.00 111.96
Positions (direct):
Pr: 0.4730 0.9461 0.2500
Pr: 0.7663 0.5326 0.3959
Pr: 0.7663 0.5326 0.1041
Pr: 0.5270 0.0539 0.7500
Pr: 0.2337 0.4674 0.6041
Pr: 0.2337 0.4674 0.8959
Co: 0.8393 0.6787 0.7500
Co: 0.9402 0.8803 0.9136
Co: 0.0598 0.1197 0.0864
Co: 0.0598 0.1197 0.4136
Co: 0.9402 0.8803 0.5864
Co: 0.1607 0.3213 0.2500
Ru: 0.5000 0.0000 0.5000
Ru: 0.5000 0.0000 0.0000

***

(3)
Computed, not measured: a relaxed structure of CsNiW2Se8 at the GGA-PBE level of DFT.

Results
SG: R-3, No. 148

abc: 6.4217 6.4217 10.8046
angles: 72.71 72.71 60.00
Positions (direct):
Ni: 0.0000 0.0000 0.0000
Se: 0.2682 0.9443 0.1451
Se: 0.9443 0.6424 0.1451
Se: 0.0557 0.3576 0.8549
Se: 0.6424 0.2682 0.1451
Se: 0.7318 0.0557 0.8549
Se: 0.3576 0.7318 0.8549
Se: 0.1852 0.1852 0.4443
Se: 0.8148 0.8148 0.5557
W: 0.7386 0.7386 0.7843
W: 0.2614 0.2614 0.2157
Cs: 0.5000 0.5000 0.5000

***

(4)
Computed, not measured: a relaxed structure of Pa2Bi2O7 at the GGA-PBE level of DFT.

Results
Distance to the lowest polymorph of the same formula, meV per atom: 119
SG: Fd-3m, No. 227

abc: 7.8541 7.8541 7.8541
angles: 60.00 60.00 60.00
Positions (direct):
O: 0.7759 0.7759 0.2241
O: 0.5000 0.5000 0.5000
O: 0.0259 0.0259 0.4741
O: 0.0259 0.4741 0.4741
O: 0.7500 0.7500 0.7500
O: 0.7759 0.2241 0.2241
O: 0.4741 0.0259 0.0259
O: 0.4741 0.4741 0.0259
O: 0.2241 0.7759 0.2241
O: 0.0259 0.4741 0.0259
O: 0.4741 0.0259 0.4741
O: 0.2241 0.2241 0.7759
O: 0.7759 0.2241 0.7759
O: 0.2241 0.7759 0.7759
Pa: 0.1250 0.6250 0.1250
Pa: 0.1250 0.1250 0.6250
Pa: 0.1250 0.1250 0.1250
Pa: 0.6250 0.1250 0.1250
Bi: 0.6250 0.6250 0.6250
Bi: 0.1250 0.6250 0.6250
Bi: 0.6250 0.1250 0.6250
Bi: 0.6250 0.6250 0.1250

***

(5)
Computed, not measured: a relaxed structure of Li2PdAuN at the GGA-PBE level of DFT.

Results
SG: P4/mmm, No. 123

abc: 4.0847 4.0847 3.9711
angles: 90.00 90.00 90.00
Positions (direct):
Pd: 0.0000 0.0000 0.5000
Au: 0.5000 0.5000 0.5000
N: 0.0000 0.0000 0.0000
Li: 0.5000 0.0000 0.0000
Li: 0.0000 0.5000 0.0000

***

(6)
Computed, not measured: a relaxed structure of ErSnAs2 at the GGA-PBE level of DFT.

Results
SG: R-3m, No. 166

abc: 3.8670 3.8670 9.1588
angles: 77.81 77.81 60.00
Positions (direct):
As: 0.8947 0.8947 0.3158
As: 0.1053 0.1053 0.6842
Er: 0.0000 0.0000 0.0000
Sn: 0.5000 0.5000 0.5000

***

(7)
Computed, not measured: a relaxed structure of LiTi2Nb2 at the GGA-PBE level of DFT.

Results
Distance to the lowest polymorph of the same formula, meV per atom: 0
SG: P4/mbm, No. 127

abc: 7.1182 7.1182 3.5095
angles: 90.00 90.00 90.00
Positions (direct):
Ti: 0.8641 0.6359 0.0000
Ti: 0.6359 0.1359 0.0000
Ti: 0.3641 0.8641 0.0000
Ti: 0.1359 0.3641 0.0000
Li: 0.5000 0.5000 0.0000
Li: 0.0000 0.0000 0.0000
Nb: 0.6594 0.8406 0.5000
Nb: 0.8406 0.3406 0.5000
Nb: 0.3406 0.1594 0.5000
Nb: 0.1594 0.6594 0.5000

***

(8)
Computed, not measured: a relaxed structure of TlSb2TeIr at the GGA-PBE level of DFT.

Results
Distance to the lowest polymorph of the same formula, meV per atom: 0
SG: P4/mmm, No. 123

abc: 5.0969 5.0969 5.9789
angles: 90.00 90.00 90.00
Positions (direct):
Te: 0.0000 0.0000 0.5000
Sb: 0.0000 0.5000 0.0000
Sb: 0.5000 0.0000 0.0000
Tl: 0.5000 0.5000 0.5000
Ir: 0.0000 0.0000 0.0000

***

| no. | calculated total energy (eV/atom) |
| --- | --- |
| 1 | -7.33 |
| 2 | -6.48 |
| 3 | -5.33 |
| 4 | -8.01 |
| 5 | -4.33 |
| 6 | -4.36 |
| 7 | -7.26 |
| 8 | -4.22 |